Entry 1:
{"formula": "Sm2SnF", "functional": "PBE-GGA", "state": "optimized geometry", "lattice_angstrom": [[3.4894, 0.0000, 0.0000], [-1.7447, 3.0219, 0.0000], [0.0000, 0.0000, 29.4069]], "species": ["Sm", "Sm", "Sm", "Sm", "Sm", "Sm", "Sn", "Sn", "Sn", "F", "F", "F"], "fractional_positions": [[0.0000, 0.0000, 0.1055], [0.0000, 0.0000, 0.8945], [0.3333, 0.6667, 0.5612], [0.3333, 0.6667, 0.7722], [0.6667, 0.3333, 0.2278], [0.6667, 0.3333, 0.4388], [0.0000, 0.0000, 0.0000], [0.3333, 0.6667, 0.6667], [0.6667, 0.3333, 0.3333], [0.0000, 0.0000, 0.5000], [0.3333, 0.6667, 0.1667], [0.6667, 0.3333, 0.8333]], "sg": "R-3m", "raw_formation_energy_mev_per_atom": -1039.4, "final_energy_ev_per_atom": -4.868, "dos_ef_per_ev_cell": 10.77}

---

Entry 2:
{"formula": "SrSmF4", "functional": "PBE-GGA", "state": "optimized geometry", "lattice_angstrom": [[-3.7746, 3.7746, 4.0382], [3.7746, -3.7746, 4.0382], [3.7746, 3.7746, -4.0382]], "species": ["Sr", "Sr", "Sm", "Sm", "F", "F", "F", "F", "F", "F", "F", "F"], "fractional_positions": [[0.0000, 0.0000, 0.0000], [0.7500, 0.2500, 0.5000], [0.2639, 0.7639, 0.5000], [0.5139, 0.5139, 0.0000], [0.1951, 0.5063, 0.6888], [0.2563, 0.0676, 0.8112], [0.2563, 0.4451, 0.1888], [0.3209, 0.0024, 0.3185], [0.6839, 0.0024, 0.6815], [0.7524, 0.5709, 0.8185], [0.7524, 0.9339, 0.1815], [0.8176, 0.5063, 0.3112]], "sg": "I4_1md", "raw_formation_energy_mev_per_atom": -3551.4, "final_energy_ev_per_atom": -5.866, "dos_ef_per_ev_cell": 4.40}

---

Entry 3:
{"formula": "Sr2SmF8", "functional": "PBE-GGA", "state": "optimized geometry", "lattice_angstrom": [[7.2122, -2.0458, 0.0000], [7.2122, 2.0458, 0.0000], [-2.1518, 0.0000, 5.4213]], "species": ["Sr", "Sr", "Sm", "F", "F", "F", "F", "F", "F", "F", "F"], "fractional_positions": [[0.1719, 0.1719, 0.1872], [0.8281, 0.8281, 0.8128], [0.5000, 0.5000, 0.5000], [0.0193, 0.0193, 0.3028], [0.2220, 0.2220, 0.8178], [0.3441, 0.3441, 0.5378], [0.4016, 0.4016, 0.0791], [0.5984, 0.5984, 0.9209], [0.6559, 0.6559, 0.4622], [0.7780, 0.7780, 0.1822], [0.9807, 0.9807, 0.6972]], "sg": "C2/m", "raw_formation_energy_mev_per_atom": -3598.2, "final_energy_ev_per_atom": -5.694, "dos_ef_per_ev_cell": 5.27}

---

Entry 4:
{"formula": "SrSmF", "functional": "PBE-GGA", "state": "optimized geometry", "lattice_angstrom": [[6.8198, 0.0000, 0.0000], [0.0000, 3.9373, 0.0000], [-2.2631, 0.0000, 12.9942]], "species": ["Sr", "Sr", "Sr", "Sr", "Sm", "Sm", "Sm", "Sm", "F", "F", "F", "F"], "fractional_positions": [[0.0000, 0.0000, 0.0000], [0.2391, 0.0000, 0.7228], [0.5000, 0.5000, 0.0000], [0.7391, 0.5000, 0.7228], [0.2445, 0.5000, 0.2362], [0.4826, 0.0000, 0.4524], [0.7445, 0.0000, 0.2362], [0.9826, 0.5000, 0.4524], [0.1778, 0.0000, 0.5359], [0.3675, 0.0000, 0.1006], [0.6778, 0.5000, 0.5359], [0.8675, 0.5000, 0.1006]], "sg": "Cm", "raw_formation_energy_mev_per_atom": -1575.4, "final_energy_ev_per_atom": -4.333, "dos_ef_per_ev_cell": 8.63}

---

Entry 5:
{"formula": "Sm2TaF", "functional": "PBE-GGA", "state": "optimized geometry", "lattice_angstrom": [[3.1627, 0.0000, 0.0000], [-1.5814, 2.7390, 0.0000], [0.0000, 0.0000, 29.8449]], "species": ["Sm", "Sm", "Sm", "Sm", "Sm", "Sm", "Ta", "Ta", "Ta", "F", "F", "F"], "fractional_positions": [[0.0000, 0.0000, 0.1011], [0.0000, 0.0000, 0.8989], [0.3333, 0.6667, 0.5656], [0.3333, 0.6667, 0.7678], [0.6667, 0.3333, 0.2322], [0.6667, 0.3333, 0.4344], [0.0000, 0.0000, 0.0000], [0.3333, 0.6667, 0.6667], [0.6667, 0.3333, 0.3333], [0.0000, 0.0000, 0.5000], [0.3333, 0.6667, 0.1667], [0.6667, 0.3333, 0.8333]], "sg": "R-3m", "raw_formation_energy_mev_per_atom": -561.2, "final_energy_ev_per_atom": -6.352, "dos_ef_per_ev_cell": 10.27}

---

Entry 6:
{"formula": "TbSm2F", "functional": "PBE-GGA", "state": "optimized geometry", "lattice_angstrom": [[3.7493, 0.0000, 0.0000], [-1.8746, 3.2470, 0.0000], [0.0000, 0.0000, 25.8471]], "species": ["Tb", "Tb", "Tb", "Sm", "Sm", "Sm", "Sm", "Sm", "Sm", "F", "F", "F"], "fractional_positions": [[0.0000, 0.0000, 0.0000], [0.3333, 0.6667, 0.6667], [0.6667, 0.3333, 0.3333], [0.0000, 0.0000, 0.2233], [0.0000, 0.0000, 0.7767], [0.3333, 0.6667, 0.4433], [0.3333, 0.6667, 0.8900], [0.6667, 0.3333, 0.1100], [0.6667, 0.3333, 0.5567], [0.0000, 0.0000, 0.5000], [0.3333, 0.6667, 0.1667], [0.6667, 0.3333, 0.8333]], "sg": "R-3m", "raw_formation_energy_mev_per_atom": -1141.2, "final_energy_ev_per_atom": -5.126, "dos_ef_per_ev_cell": 8.62}

---

Entry 7:
{"formula": "Tb3SmF", "functional": "PBE-GGA", "state": "optimized geometry", "lattice_angstrom": [[5.0738, 0.0000, 0.0000], [0.0000, 5.0738, 0.0000], [0.0000, 0.0000, 5.0738]], "species": ["Tb", "Tb", "Tb", "Sm", "F"], "fractional_positions": [[0.0000, 0.0000, 0.5000], [0.0000, 0.5000, 0.0000], [0.5000, 0.0000, 0.0000], [0.5000, 0.5000, 0.5000], [0.0000, 0.0000, 0.0000]], "sg": "Pm-3m", "raw_formation_energy_mev_per_atom": -936.7, "final_energy_ev_per_atom": -5.033, "dos_ef_per_ev_cell": 5.11}

---

Entry 8:
{"formula": "TbSm3F", "functional": "PBE-GGA", "state": "optimized geometry", "lattice_angstrom": [[5.1243, 0.0000, 0.0000], [0.0000, 5.1243, 0.0000], [0.0000, 0.0000, 5.1243]], "species": ["Tb", "Sm", "Sm", "Sm", "F"], "fractional_positions": [[0.0000, 0.0000, 0.0000], [0.0000, 0.5000, 0.5000], [0.5000, 0.0000, 0.5000], [0.5000, 0.5000, 0.0000], [0.5000, 0.5000, 0.5000]], "sg": "Pm-3m", "raw_formation_energy_mev_per_atom": -962.3, "final_energy_ev_per_atom": -5.094, "dos_ef_per_ev_cell": 5.69}